[1]
DFT (GGA-PBE) results for a geometry-optimized LiHgF structure.

The calculation puts the density of states at the Fermi level at 2.50 states/eV per cell. The value obtained for the total magnetization is 0.0 μB/cell. The calculation puts the total energy at -3.16 eV/atom. The value obtained for the formation energy from raw total energies is -1.801 eV per atom.

The space group is C2/m (No. 12) and the conventional cell measures 15.227, 2.790 and 5.497 Å, with angles of 90.00, 96.27 and 90.00 degrees. The asymmetric unit holds Li at (0.000, 0.000, 0.000), Li at (0.000, 0.000, 0.500), Hg at (0.212, 0.500, 0.239) and F at (0.002, 0.500, 0.750).

[2]
DFT (GGA-PBE) results for a geometry-optimized LiHgF3 structure.

The calculation puts the density of states at the Fermi level at 0.00 states/eV per cell. The value obtained for the total magnetization is 0.0 μB/cell. The calculation puts the total energy at -3.19 eV/atom. The value obtained for the formation energy from raw total energies is -1.623 eV per atom.

The space group is Pm-3m (No. 221) and the conventional cell measures 4.554, 4.554 and 4.554 Å, with angles of 90.00, 90.00 and 90.00 degrees. The asymmetric unit holds Li at (0.000, 0.000, 0.000), Hg at (0.500, 0.500, 0.500) and F at (0.000, 0.500, 0.500).

[3]
DFT (GGA-PBE) results for a geometry-optimized LiHg3F8 structure.

The calculation puts the density of states at the Fermi level at 9.15 states/eV per cell. The value obtained for the total magnetization is 0.4 μB/cell. The calculation puts the total energy at -3.02 eV/atom. The value obtained for the formation energy from raw total energies is -1.538 eV per atom.

The space group is Cm (No. 8) and the conventional cell measures 15.260, 4.425 and 7.170 Å, with angles of 90.00, 108.44 and 90.00 degrees. The asymmetric unit holds Li at (0.000, 0.000, 0.000), Hg at (0.073, 0.000, 0.577), Hg at (0.278, 0.000, 0.024), Hg at (0.387, 0.000, 0.650), F at (0.033, 0.500, 0.578), F at (0.049, 0.000, 0.275), F at (0.105, 0.000, 0.894), F at (0.242, 0.000, 0.702), F at (0.286, 0.500, 0.028), F at (0.319, 0.000, 0.336), F at (0.418, 0.500, 0.698) and F at (0.441, 0.000, 0.971).

[4]
DFT (GGA-PBE) results for a geometry-optimized Li5Hg3F12 structure.

The calculation puts the density of states at the Fermi level at 101.98 states/eV per cell. The value obtained for the total magnetization is 9.6 μB/cell. The calculation puts the total energy at -3.75 eV/atom. The value obtained for the formation energy from raw total energies is -2.107 eV per atom.

The space group is Ia-3d (No. 230) and the conventional cell measures 12.583, 12.583 and 12.583 Å, with angles of 90.00, 90.00 and 90.00 degrees. The asymmetric unit holds Li at (0.000, 0.000, 0.000), Li at (0.000, 0.250, 0.375), Hg at (0.000, 0.250, 0.125) and F at (0.024, 0.052, 0.654).

[5]
DFT (GGA-PBE) results for a geometry-optimized Li2HgF4 structure.

The calculation puts the density of states at the Fermi level at 0.00 states/eV per cell. The value obtained for the total magnetization is 0.0 μB/cell. The calculation puts the total energy at -3.91 eV/atom. The value obtained for the formation energy from raw total energies is -2.255 eV per atom.

The space group is Cmcm (No. 63) and the conventional cell measures 3.132, 9.971 and 10.047 Å, with angles of 90.00, 90.00 and 90.00 degrees. The asymmetric unit holds Li at (0.000, 0.126, 0.060), Hg at (0.000, 0.386, 0.250), F at (0.000, 0.060, 0.250), F at (0.000, 0.227, 0.610) and F at (0.000, 0.500, 0.000).

[6]
DFT (GGA-PBE) results for a geometry-optimized Li4HgF8 structure.

The calculation puts the density of states at the Fermi level at 31.93 states/eV per cell. The value obtained for the total magnetization is 6.1 μB/cell. The calculation puts the total energy at -3.82 eV/atom. The value obtained for the formation energy from raw total energies is -2.055 eV per atom.

The space group is R-3m (No. 166, hexagonal axes) and the conventional cell measures 6.0149, 6.0149 and 15.5813 Å, with angles of 90.00, 90.00 and 120.00 degrees. The asymmetric unit holds Li at (0.0000, 0.0000, 0.0000), Li at (0.0000, 0.5000, 0.0000), Hg at (0.0000, 0.0000, 0.5000), F at (0.0000, 0.0000, 0.2730) and F at (0.0155, 0.5078, 0.2629).